Compound: As2C
Source: Alexandria
Functional: GGA-PBE
Structure: optimized geometry

Lattice parameters (Å, degrees): 13.5293 2.9933 7.1267 90.00 113.63 90.00
Atoms (fractional coordinates):
As: 0.1119 0.0000 0.0770
As: 0.1549 0.5000 0.6891
As: 0.3451 0.0000 0.3109
As: 0.3881 0.5000 0.9230
As: 0.6119 0.5000 0.0770
As: 0.6549 0.0000 0.6891
As: 0.8451 0.5000 0.3109
As: 0.8881 0.0000 0.9230
C: 0.1329 0.0000 0.8297
C: 0.3671 0.5000 0.1703
C: 0.6329 0.5000 0.8297
C: 0.8671 0.0000 0.1703

total magnetization = 0.000 μB/atom
DFT formation energy = 0.695 eV per atom
uncorrected energy = -65.8 eV per cell